Below is crystalline KAlW2 at its relaxed geometry, with properties calculated at the GGA-PBE level.

a b c (Å): 2.7250 2.7250 10.4537
angles (deg): 90.00 90.00 102.06
With the nearest neighbours (Å) after each atom.
Atoms (fractional coordinates):
K: 0.5000 0.5000 0.7500  4 K 2.73
W: 0.0000 0.0000 0.0481  4 Al 2.72-2.99, 4 W 2.73
W: 0.0000 0.0000 0.4519  4 Al 2.72-2.99, 4 W 2.73
Al: 0.5000 0.5000 0.2500  8 W 2.72-2.99, 4 Al 2.73

ΔE_f: 0.786 eV/atom
crystal system: orthorhombic
DOS at the Fermi energy: 3.47 states/eV/f.u.
calculated density: 9.49 Mg/m³
electronic total energy: -27.60 eV/f.u.

Below is crystalline KAlW2 at its relaxed geometry, with properties calculated at the GGA-PBE level.

a b c (Å): 6.3463 6.3463 6.3463
angles (deg): 155.68 131.33 55.14
With the nearest neighbours (Å) after each atom.
Atoms (fractional coordinates):
K: 0.2500 0.7500 0.5000  2 K 2.67, 4 Al 2.94
Al: 0.7500 0.2500 0.5000  2 Al 2.67, 4 W 2.72, 4 K 2.94
W: 0.9605 0.9605 0.0000  2 W 2.67, 2 Al 2.72
W: 0.5395 0.5395 0.0000  2 W 2.67, 2 Al 2.72

ΔE_f: 0.976 eV/atom
crystal system: orthorhombic
DOS at the Fermi energy: 3.03 states/eV/f.u.
calculated density: 9.16 Mg/m³
electronic total energy: -26.84 eV/f.u.

Below is crystalline KAlW2 at its relaxed geometry, with properties calculated at the GGA-PBE level.

a b c (Å): 3.4362 3.4362 7.8565
angles (deg): 90.00 90.00 90.00
With the nearest neighbours (Å) after each atom.
Atoms (fractional coordinates):
K: 0.5000 0.5000 0.7500  4 K 3.44, 8 W 3.69
W: 0.0000 0.0000 0.1039  1 W 2.30
W: 0.0000 0.0000 0.3961  1 W 2.30
Al: 0.5000 0.5000 0.2500  8 W 2.69

ΔE_f: 0.966 eV/atom
crystal system: tetragonal
DOS at the Fermi energy: 2.76 states/eV/f.u.
calculated density: 7.76 Mg/m³
electronic total energy: -26.88 eV/f.u.

Below is crystalline KAlW2 at its relaxed geometry, with properties calculated at the GGA-PBE level.

a b c (Å): 4.8894 3.9631 3.9631
angles (deg): 90.00 90.00 90.00
With the nearest neighbours (Å) after each atom.
Atoms (fractional coordinates):
K: 0.5000 0.0000 0.5000  4 Al 2.80
W: 0.0000 0.5000 0.5000  4 W 2.80
W: 0.0000 0.0000 0.0000  4 W 2.80
Al: 0.5000 0.5000 0.0000  4 K 2.80

ΔE_f: 1.569 eV/atom
crystal system: tetragonal
DOS at the Fermi energy: 2.24 states/eV/f.u.
calculated density: 9.38 Mg/m³
electronic total energy: -24.47 eV/f.u.

Below is crystalline KAl2W at its relaxed geometry, with properties calculated at the GGA-PBE level.

a b c (Å): 6.5404 6.5404 6.5404
angles (deg): 155.22 124.13 62.03
With the nearest neighbours (Å) after each atom.
Atoms (fractional coordinates):
Al: 0.9513 0.9513 0.0000  2 W 2.66, 2 Al 2.81
Al: 0.5487 0.5487 0.0000  2 W 2.66, 2 Al 2.81
K: 0.2500 0.7500 0.5000  2 K 2.81
W: 0.7500 0.2500 0.5000  4 Al 2.66, 2 W 2.81

ΔE_f: 0.916 eV/atom
crystal system: orthorhombic
DOS at the Fermi energy: 2.94 states/eV/f.u.
calculated density: 4.77 Mg/m³
electronic total energy: -17.87 eV/f.u.

Below is crystalline KAlW2 at its relaxed geometry, with properties calculated at the GGA-PBE level.

a b c (Å): 4.0384 2.7511 8.3842
angles (deg): 76.37 90.00 90.00
With the nearest neighbours (Å) after each atom.
Atoms (fractional coordinates):
Al: 0.0000 0.5548 0.4164  5 W 2.73-2.80, 2 Al 2.75
W: 0.5000 0.1626 0.2520  4 W 2.59-2.75, 4 Al 2.77-2.80
W: 0.0000 0.9589 0.0860  4 W 2.59-2.75, 1 Al 2.73
K: 0.5000 0.8237 0.7456  2 K 2.75

ΔE_f: 0.635 eV/atom
crystal system: monoclinic
DOS at the Fermi energy: 2.88 states/eV/f.u.
calculated density: 7.96 Mg/m³
electronic total energy: -28.21 eV/f.u.

Below is crystalline KAl2W at its relaxed geometry, with properties calculated at the GGA-PBE level.

a b c (Å): 4.7085 4.7085 7.3334
angles (deg): 86.11 86.11 34.26
With the nearest neighbours (Å) after each atom.
Atoms (fractional coordinates):
K: 0.7500 0.7500 0.7500  2 K 2.77
W: 0.2500 0.2500 0.2500  6 Al 2.71-2.74, 2 W 2.77
Al: 0.9871 0.9871 0.0908  3 W 2.71-2.74, 4 Al 2.74-2.77
Al: 0.5129 0.5129 0.4092  3 W 2.71-2.74, 4 Al 2.74-2.77

ΔE_f: 0.495 eV/atom
crystal system: monoclinic
DOS at the Fermi energy: 3.10 states/eV/f.u.
calculated density: 5.04 Mg/m³
electronic total energy: -19.56 eV/f.u.

Below is crystalline KAl2W at its relaxed geometry, with properties calculated at the GGA-PBE level.

a b c (Å): 2.7492 5.9004 5.2032
angles (deg): 90.00 90.00 90.00
With the nearest neighbours (Å) after each atom.
Atoms (fractional coordinates):
K: 0.5000 0.0000 0.5000  2 K 2.75, 4 Al 2.94
W: 0.0000 0.5000 0.5000  2 W 2.75, 4 Al 2.94
Al: 0.0000 0.0000 0.0000  2 Al 2.75, 4 K 2.94
Al: 0.5000 0.5000 0.0000  2 Al 2.75, 4 W 2.94

ΔE_f: 1.150 eV/atom
crystal system: orthorhombic
DOS at the Fermi energy: 2.04 states/eV/f.u.
calculated density: 5.45 Mg/m³
electronic total energy: -16.94 eV/f.u.

Below is crystalline KAlW2 at its relaxed geometry, with properties calculated at the GGA-PBE level.

a b c (Å): 2.7323 2.7323 10.4829
angles (deg): 90.00 90.00 90.00
With the nearest neighbours (Å) after each atom.
Atoms (fractional coordinates):
K: 0.5000 0.5000 0.7408  4 K 2.73
Al: 0.0000 0.0000 0.4582  4 Al 2.73, 4 W 2.85
W: 0.0000 0.0000 0.0426  8 W 2.73-2.98
W: 0.5000 0.5000 0.2584  8 W 2.73-2.98, 4 Al 2.85

ΔE_f: 0.724 eV/atom
crystal system: tetragonal
DOS at the Fermi energy: 1.38 states/eV/f.u.
calculated density: 9.20 Mg/m³
electronic total energy: -27.85 eV/f.u.

Below is crystalline KAlW2 at its relaxed geometry, with properties calculated at the GGA-PBE level.

a b c (Å): 2.7182 2.7182 10.3419
angles (deg): 90.00 90.00 90.00
With the nearest neighbours (Å) after each atom.
Atoms (fractional coordinates):
W: 0.0000 0.0000 0.4490  4 W 2.72, 4 Al 2.82
W: 0.0000 0.0000 0.0510  4 W 2.72, 4 Al 2.82
K: 0.5000 0.5000 0.7500  4 K 2.72
Al: 0.5000 0.5000 0.2500  4 Al 2.72, 8 W 2.82

ΔE_f: 0.803 eV/atom
crystal system: tetragonal
DOS at the Fermi energy: 3.27 states/eV/f.u.
calculated density: 9.43 Mg/m³
electronic total energy: -27.53 eV/f.u.

Below is crystalline KAlW4 at its relaxed geometry, with properties calculated at the GGA-PBE level.

a b c (Å): 5.4535 5.4535 5.4535
angles (deg): 60.00 60.00 60.00
With the nearest neighbours (Å) after each atom.
Atoms (fractional coordinates):
W: 0.3737 0.8789 0.3737  6 W 2.70-2.75
W: 0.8789 0.3737 0.3737  6 W 2.70-2.75
W: 0.3737 0.3737 0.8789  6 W 2.70-2.75
W: 0.3737 0.3737 0.3737  6 W 2.70-2.75
K: 0.0000 0.0000 0.0000  12 W 3.19, 4 Al 3.34
Al: 0.7500 0.7500 0.7500  12 W 3.20, 4 K 3.34

ΔE_f: 1.121 eV/atom
crystal system: cubic
DOS at the Fermi energy: 7.39 states/eV/f.u.
calculated density: 11.60 Mg/m³
electronic total energy: -49.93 eV/f.u.

Below is crystalline KAlW2 at its relaxed geometry, with properties calculated at the GGA-PBE level.

a b c (Å): 6.1385 6.1385 6.1385
angles (deg): 151.65 126.37 61.76
With the nearest neighbours (Å) after each atom.
Atoms (fractional coordinates):
W: 0.9525 0.9525 0.0000  2 W 2.45
W: 0.7692 0.2692 0.5000  2 W 2.45
Al: 0.5371 0.5371 0.0000  2 W 2.87, 2 Al 3.01
K: 0.2412 0.7412 0.5000  2 K 3.01, 4 W 3.16

ΔE_f: 1.256 eV/atom
crystal system: orthorhombic
DOS at the Fermi energy: 4.23 states/eV/f.u.
calculated density: 8.21 Mg/m³
electronic total energy: -25.72 eV/f.u.

Below is crystalline KAl2W at its relaxed geometry, with properties calculated at the GGA-PBE level.

a b c (Å): 6.3153 6.3153 6.3153
angles (deg): 154.67 130.59 56.32
With the nearest neighbours (Å) after each atom.
Atoms (fractional coordinates):
Al: 0.2204 0.7204 0.5000  4 Al 2.77-2.94, 4 W 3.07
Al: 0.9879 0.9879 0.0000  2 W 2.62, 2 Al 2.77
K: 0.5035 0.5035 0.0000  2 K 2.77, 4 Al 2.99
W: 0.7882 0.2882 0.5000  2 Al 2.62, 2 W 2.77

ΔE_f: 0.733 eV/atom
crystal system: orthorhombic
DOS at the Fermi energy: 3.85 states/eV/f.u.
calculated density: 5.65 Mg/m³
electronic total energy: -18.60 eV/f.u.

Below is crystalline KAlW2 at its relaxed geometry, with properties calculated at the GGA-PBE level.

a b c (Å): 2.7869 4.1752 7.8399
angles (deg): 90.00 90.00 90.00
With the nearest neighbours (Å) after each atom.
Atoms (fractional coordinates):
W: 0.0000 0.0000 0.0970  1 W 2.40
W: 0.0000 0.0000 0.4030  1 W 2.40
K: 0.5000 0.5000 0.7500  2 K 2.79
Al: 0.5000 0.5000 0.2500  8 W 2.78, 2 Al 2.79

ΔE_f: 0.904 eV/atom
crystal system: orthorhombic
DOS at the Fermi energy: 3.00 states/eV/f.u.
calculated density: 7.90 Mg/m³
electronic total energy: -27.13 eV/f.u.

Below is crystalline KAl2W at its relaxed geometry, with properties calculated at the GGA-PBE level.

a b c (Å): 2.8275 2.8275 9.9689
angles (deg): 90.00 90.00 90.00
With the nearest neighbours (Å) after each atom.
Atoms (fractional coordinates):
K: 0.5000 0.5000 0.2500  4 K 2.83
W: 0.5000 0.5000 0.7500  4 W 2.83, 8 Al 2.86
Al: 0.0000 0.0000 0.9550  4 Al 2.83, 4 W 2.86
Al: 0.0000 0.0000 0.5450  4 Al 2.83, 4 W 2.86

ΔE_f: 0.326 eV/atom
crystal system: tetragonal
DOS at the Fermi energy: 1.87 states/eV/f.u.
calculated density: 5.77 Mg/m³
electronic total energy: -20.23 eV/f.u.